{
  "formula": "Sc5TlSe8",
  "functional": "GGA-PBE",
  "state": "optimized geometry",
  "cell": [[3.8069, 0.0000, -0.7445], [-0.4800, 9.2686, -2.4546], [0.0357, 0.0372, 10.2872]],
  "species": ["Se", "Se", "Se", "Se", "Se", "Se", "Se", "Se", "Sc", "Sc", "Sc", "Sc", "Sc", "Tl"],
  "frac_coords": [[0.2367, 0.1506, 0.4734], [0.7674, 0.8468, 0.5347], [0.5798, 0.1552, 0.1596], [0.4247, 0.8442, 0.8495], [0.8359, 0.5062, 0.6717], [0.0827, 0.8093, 0.1653], [0.9207, 0.1888, 0.8413], [0.1712, 0.4932, 0.3423], [0.3469, 0.0361, 0.6939], [0.7068, 0.3408, 0.4136], [0.2962, 0.6586, 0.5923], [0.0030, 0.0000, 0.0059], [0.6561, 0.9613, 0.3121], [0.4722, 0.5090, 0.9443]],
  "density_g_cm3": 4.85,
  "raw_formation_energy_ev_per_atom": -1.577
}